# 1
KTiGa: optimized geometry, GGA-PBE.

abc: 3.461 4.127 12.548
angles: 99.25 90.81 90.00
Atoms (fractional coordinates):
K 0.233 0.334 0.164
K 0.767 0.666 0.836
Ti 0.245 0.958 0.415
Ti 0.755 0.042 0.585
Ga 0.255 0.542 0.587
Ga 0.745 0.458 0.413

Properties
Formation energy from the elements ... -0.0400 eV/atom
Calculated volume ... 88.4 Å³/f.u.
Crystal system ... triclinic

***

# 2
KTiGa: optimized geometry, GGA-PBE.

abc: 13.074 5.502 4.740
angles: 90.00 90.00 90.00
Atoms (fractional coordinates):
K 0.244 0.250 0.010
K 0.256 0.750 0.510
K 0.744 0.250 0.490
K 0.756 0.750 0.990
Ti 0.008 0.250 0.500
Ti 0.492 0.750 0.000
Ti 0.508 0.250 0.000
Ti 0.992 0.750 0.500
Ga 0.000 0.000 0.000
Ga 0.000 0.500 0.000
Ga 0.500 0.000 0.500
Ga 0.500 0.500 0.500

Properties
Formation energy from the elements ... 0.2293 eV/atom
Calculated volume ... 85.3 Å³/f.u.
Crystal system ... orthorhombic

***

# 3
KTiGa: optimized geometry, GGA-PBE.

abc: 3.199 3.827 13.119
angles: 90.00 90.30 90.00
Atoms (fractional coordinates):
K 0.242 0.250 0.159
K 0.758 0.750 0.841
Ti 0.249 0.250 0.437
Ti 0.751 0.750 0.563
Ga 0.253 0.250 0.647
Ga 0.747 0.750 0.353

Properties
Formation energy from the elements ... -0.0524 eV/atom
Calculated volume ... 80.3 Å³/f.u.
Crystal system ... monoclinic

***

# 4
KTiGa: optimized geometry, GGA-PBE.

abc: 5.375 4.506 7.102
angles: 90.00 98.94 90.00
Atoms (fractional coordinates):
K 0.000 0.000 0.000
K 0.485 0.500 0.845
Ti 0.078 0.000 0.472
Ti 0.882 0.500 0.461
Ga 0.323 0.500 0.356
Ga 0.591 0.000 0.372

Properties
Formation energy from the elements ... 0.2221 eV/atom
Calculated volume ... 85.0 Å³/f.u.
Crystal system ... monoclinic

***

# 5
K2TiGa2: optimized geometry, GGA-PBE.

abc: 8.168 8.168 8.168
angles: 150.93 150.93 41.57
Atoms (fractional coordinates):
K 0.250 0.750 0.500
K 0.750 0.250 0.500
Ti 0.000 0.000 0.000
Ga 0.421 0.421 0.000
Ga 0.579 0.579 0.000

Properties
Formation energy from the elements ... 0.5816 eV/atom
Calculated volume ... 128.3 Å³/f.u.
Crystal system ... tetragonal

***

# 6
KTiGa: optimized geometry, GGA-PBE.

abc: 3.875 4.777 11.647
angles: 79.24 88.22 66.11
Atoms (fractional coordinates):
K 0.000 0.000 0.000
K 0.406 0.308 0.350
Ti 0.353 0.346 0.720
Ti 0.728 0.622 0.581
Ga 0.038 0.990 0.639
Ga 0.662 0.712 0.802

Properties
Formation energy from the elements ... 0.0899 eV/atom
Calculated volume ... 96.7 Å³/f.u.
Crystal system ... triclinic

***

# 7
KTiGa: optimized geometry, GGA-PBE.

abc: 3.872 4.753 11.785
angles: 81.17 86.37 66.20
Atoms (fractional coordinates):
K 0.000 0.000 0.000
K 0.147 0.615 0.656
Ti 0.394 0.103 0.276
Ti 0.789 0.258 0.413
Ga 0.092 0.676 0.351
Ga 0.692 0.538 0.194

Properties
Formation energy from the elements ... 0.0990 eV/atom
Calculated volume ... 98.0 Å³/f.u.
Crystal system ... triclinic

***

# 8
KTiGa: optimized geometry, GGA-PBE.

abc: 4.961 4.961 4.961
angles: 60.00 60.00 60.00
Atoms (fractional coordinates):
K 0.000 0.000 0.000
Ti 0.500 0.500 0.500
Ga 0.250 0.250 0.250

Properties
Formation energy from the elements ... 0.9135 eV/atom
Calculated volume ... 86.3 Å³/f.u.
Crystal system ... cubic

***

# 9
KTiGa: optimized geometry, GGA-PBE.

abc: 4.377 4.463 11.680
angles: 79.62 80.52 60.67
Atoms (fractional coordinates):
K 0.241 0.242 0.316
K 0.759 0.758 0.684
Ti 0.346 0.310 0.997
Ti 0.654 0.690 0.003
Ga 0.032 0.034 0.889
Ga 0.968 0.966 0.111

Properties
Formation energy from the elements ... 0.0330 eV/atom
Calculated volume ... 97.4 Å³/f.u.
Crystal system ... triclinic

***

# 10
KTiGa: optimized geometry, GGA-PBE.

abc: 8.443 4.575 8.031
angles: 90.00 90.00 90.00
Atoms (fractional coordinates):
K 0.008 0.250 0.138
K 0.492 0.750 0.638
K 0.508 0.250 0.362
K 0.992 0.750 0.862
Ti 0.102 0.750 0.449
Ti 0.398 0.250 0.949
Ti 0.602 0.750 0.051
Ti 0.898 0.250 0.551
Ga 0.187 0.250 0.646
Ga 0.313 0.750 0.146
Ga 0.687 0.250 0.854
Ga 0.813 0.750 0.354

Properties
Formation energy from the elements ... 0.3520 eV/atom
Calculated volume ... 77.6 Å³/f.u.
Crystal system ... orthorhombic

***

# 11
KTiGa: optimized geometry, GGA-PBE.

abc: 5.008 5.008 7.796
angles: 90.00 90.00 90.00
Atoms (fractional coordinates):
K 0.250 0.250 0.149
K 0.750 0.750 0.851
Ti 0.250 0.250 0.581
Ti 0.750 0.750 0.419
Ga 0.250 0.750 0.500
Ga 0.750 0.250 0.500

Properties
Formation energy from the elements ... 0.2994 eV/atom
Calculated volume ... 97.8 Å³/f.u.
Crystal system ... tetragonal

***

# 12
KTiGa: optimized geometry, GGA-PBE.

abc: 5.212 5.212 5.725
angles: 90.00 90.00 120.00
Atoms (fractional coordinates):
K 0.000 0.000 0.000
K 0.000 0.000 0.500
Ti 0.333 0.667 0.250
Ti 0.667 0.333 0.750
Ga 0.333 0.667 0.750
Ga 0.667 0.333 0.250

Properties
Formation energy from the elements ... 0.5471 eV/atom
Calculated volume ... 67.3 Å³/f.u.
Crystal system ... hexagonal